6
Lattice="-0.7541 -3.4601 5.3643 5.9810 -1.6288 0.0949 -0.4820 2.4687 2.8028" Properties=species:S:1:pos:R:3 comment="TlSiAg PBE optimized geometry" sg="P1, No. 1" raw_formation_energy_ev_per_atom=0.2252 pbc="T T T"
Ag 4.3882 -1.4666 0.6494
Ag 2.4272 -2.2552 5.9704
Si 4.7279 -3.0847 4.5978
Si 4.5912 -0.7859 5.0819
Tl 2.1089 -1.6205 2.8802
Tl 0.6257 1.6297 2.2197

---

8
Lattice="-2.8273 -1.0798 -3.1536 2.1798 -3.7274 -0.6780 -5.4383 -4.3374 6.3606" Properties=species:S:1:pos:R:3 comment="PrThPN PBE optimized geometry" sg="P4/nmm, No. 129" raw_formation_energy_ev_per_atom=-1.1294 pbc="T T T"
Pr -2.7192 -2.1687 3.1803
Pr -3.0429 -4.5723 1.2645
P -5.2440 -3.5948 2.9031
P -0.5181 -3.1462 1.5417
Th -1.9996 -1.0072 -0.8915
Th -3.7625 -5.7338 5.3363
N 0.0000 0.0000 0.0000
N -0.3237 -2.4036 -1.9158

---

4
Lattice="4.1975 0.0000 0.0000 2.0987 3.6351 0.0000 2.0987 1.2117 3.4272" Properties=species:S:1:pos:R:3 comment="MgBe2Mo PBE optimized geometry" sg="F-43m, No. 216" ef_ev_per_atom=0.5764 pbc="T T T"
Mg 4.1975 2.4234 1.7136
Mo 6.2962 3.6351 2.5704
Be 2.0987 1.2117 0.8568
Be 0.0000 0.0000 0.0000

---

12
Lattice="7.0284 0.0000 0.0000 0.0000 6.5467 0.0000 0.0000 -3.2734 6.6467" Properties=species:S:1:pos:R:3 comment="BaZnHgAu3 PBE optimized geometry" sg="Cmcm, No. 63" ef_ev_per_atom=-0.3132 pbc="T T T"
Ba 1.7571 3.2734 2.7464
Ba 5.2713 0.0000 3.9003
Au 3.5142 4.7339 0.0000
Au 1.7571 0.0000 2.0710
Au 0.0000 4.7339 0.0000
Au 0.0000 1.8128 0.0000
Au 3.5142 1.8128 0.0000
Au 5.2713 3.2734 4.5757
Zn 5.2713 0.0000 0.5307
Zn 1.7571 3.2734 6.1160
Hg 1.7571 0.0000 4.8448
Hg 5.2713 3.2733 1.8019

---

6
Lattice="3.1281 0.0000 0.0000 0.0000 5.7150 1.1851 -1.5640 -1.2221 6.2213" Properties=species:S:1:pos:R:3 comment="NbGeS PBE optimized geometry" sg="C2/m, No. 12" raw_formation_energy_ev_per_atom=-0.4888 pbc="T T T"
Ge 0.0000 3.0525 1.8237
Ge 1.5640 1.4404 5.5827
Nb 1.5640 3.7772 3.8652
Nb 0.0000 0.7157 3.5412
S 1.5640 0.2823 1.6800
S 0.0000 4.2107 5.7264

---

5
Lattice="4.5256 0.0000 0.0000 0.0000 4.5256 0.0000 0.0000 0.0000 4.5256" Properties=species:S:1:pos:R:3 comment="TiZnTc3 PBE optimized geometry" sg="Pm-3m, No. 221" ef_ev_per_atom=1.3488 e_above_lowest_polymorph_mev_per_atom=0 pbc="T T T"
Tc 0.0000 0.0000 2.2628
Tc 2.2628 0.0000 0.0000
Tc 0.0000 2.2628 0.0000
Zn 2.2628 2.2628 2.2628
Ti 0.0000 0.0000 0.0000

---

18
Lattice="-6.4965 0.3174 -0.9699 1.5259 -6.9000 9.8153 0.9671 11.9265 -2.5743" Properties=species:S:1:pos:R:3 comment="TbPr5Y3 PBE optimized geometry" sg="C2/c, No. 15" ef_ev_per_atom=0.1742 e_above_lowest_polymorph_mev_per_atom=0 pbc="T T T"
Pr -0.6877 -1.7455 2.9901
Pr -3.3158 7.0894 3.2810
Pr -1.0293 -1.0630 6.2682
Pr -0.4647 4.8962 4.9931
Pr -3.5389 0.4476 1.2779
Pr -4.4091 3.2089 -1.3379
Pr 0.1004 4.2028 1.7484
Pr -2.9743 6.4069 0.0029
Pr -4.1039 1.1411 4.5226
Pr -1.1203 9.0350 -2.2063
Tb -4.0849 9.1799 -2.6489
Tb -1.4445 3.0640 -0.8953
Y -3.3954 3.7967 2.6787
Y 0.4835 5.9632 -1.2872
Y 0.0000 0.0000 0.0000
Y -0.6082 1.5472 3.5923
Y -4.1667 -2.1525 3.9229
Y 0.1632 7.4964 2.3481

---

4
Lattice="4.6273 0.0000 0.0000 0.0000 4.6273 0.0000 0.0000 0.0000 2.8226" Properties=species:S:1:pos:R:3 comment="Os3Se PBE optimized geometry" sg="P4/mmm, No. 123" e_above_lowest_polymorph_mev_per_atom=346 raw_formation_energy_ev_per_atom=0.8790 pbc="T T T"
Os 0.0000 0.0000 0.0000
Os 2.3136 2.3136 0.0000
Os 2.3136 0.0000 1.4113
Se 0.0000 2.3136 1.4113

---

4
Lattice="4.5134 0.0762 0.1893 2.1040 3.1245 2.4947 2.1220 -1.1996 3.8040" Properties=species:S:1:pos:R:3 comment="RbBF2 PBE optimized geometry" sg="Fm-3m, No. 225" e_above_lowest_polymorph_mev_per_atom=371 raw_formation_energy_ev_per_atom=-0.6229 pbc="T T T"
F 2.1849 0.5003 1.6220
F 6.5546 1.5008 4.8660
Rb 4.3697 1.0005 3.2440
B 0.0000 0.0000 0.0000

---

4
Lattice="-6.7443 -2.5858 5.9989 -3.7247 -3.5124 7.8707 -4.9593 -0.0562 7.9725" Properties=species:S:1:pos:R:3 comment="YZnCl2 PBE optimized geometry" sg="R3m, No. 160" e_above_lowest_polymorph_mev_per_atom=106 raw_formation_energy_ev_per_atom=-1.1089 pbc="T T T"
Zn -11.5121 -4.5922 16.2978
Cl -3.5145 -1.4020 4.9756
Cl -0.4387 -0.1750 0.6210
Y -7.6796 -3.0634 10.8721

---

30
Lattice="-4.3201 3.2441 -4.2572 -6.4773 0.7818 2.1784 6.2673 22.2993 10.6325" Properties=species:S:1:pos:R:3 comment="CaNd12Y2 PBE optimized geometry" sg="Cmme, No. 67" ef_ev_per_atom=0.1441 pbc="T T T"
Nd -2.1711 13.7672 6.5649
Nd 2.6964 20.2135 8.6511
Nd -0.4056 19.7786 7.4315
Nd -4.3614 4.4605 -1.7804
Nd 0.9996 14.0658 5.5585
Nd -7.2337 6.1034 -0.0759
Nd -4.1245 6.5465 1.1223
Nd 1.2742 4.5336 2.1617
Nd -2.6951 22.2346 7.5902
Nd -3.4375 11.3268 5.2067
Nd 4.2121 14.9869 7.1459
Nd -1.8278 4.0987 0.9420
Nd -3.3435 9.3253 2.4472
Nd -0.1993 21.8760 10.3283
Nd 4.9931 17.7657 8.4708
Nd -5.4455 12.3555 2.7438
Nd -5.4093 3.2180 1.4433
Nd -0.1310 10.2464 4.0346
Nd 0.9099 23.0957 7.1163
Nd -1.1865 16.9999 6.1065
Nd -1.6180 15.1942 3.2459
Nd 2.0552 7.3123 3.4866
Nd -1.8335 12.3620 2.0900
Nd -4.4833 15.9825 4.7705
Y 1.3072 16.5650 8.8012
Y 2.4097 17.8815 5.6240
Y -0.4386 7.7472 0.7919
Y -1.5411 6.4307 3.9691
Ca 3.0250 22.6769 11.7154
Ca -2.1563 1.6353 -2.1223

---

7
Lattice="5.9492 0.0000 0.0000 0.0000 5.9492 0.0000 2.9746 2.9746 9.7929" Properties=species:S:1:pos:R:3 comment="Cs4IrAu2 PBE optimized geometry" sg="I4/mmm, No. 139" ef_ev_per_atom=0.2344 pbc="T T T"
Ir 0.0000 0.0000 0.0000
Au 5.9492 5.9492 7.0355
Au 2.9746 2.9746 2.7574
Cs 2.9746 0.0000 0.0000
Cs 2.9746 2.9746 6.4263
Cs 0.0000 2.9746 0.0000
Cs 5.9492 5.9492 3.3666

---

72
Lattice="14.1062 0.0000 0.0000 0.0000 6.7345 0.0429 0.0000 5.1378 16.1559" Properties=species:S:1:pos:R:3 comment="Rb2GeO3 PBE optimized geometry" sg="P2_1/c, No. 14" raw_formation_energy_ev_per_atom=-1.7334 pbc="T T T"
Rb 6.8805 5.7488 4.6366
Rb 12.9234 4.2948 7.6829
Rb 9.4521 5.6749 8.3270
Rb 4.5200 10.0240 12.9110
Rb 2.3990 8.7663 15.9498
Rb 8.4626 2.1521 6.7563
Rb 1.8487 3.8963 10.2974
Rb 5.2044 1.3274 2.2194
Rb 13.9336 3.5546 3.4842
Rb 1.1828 7.5775 8.5159
Rb 8.9018 10.5449 13.9794
Rb 11.7072 3.1060 0.2491
Rb 5.8703 5.0086 0.4379
Rb 12.2576 7.9760 5.9014
Rb 0.1726 8.3177 12.7146
Rb 11.5731 4.4172 11.3658
Rb 12.6967 4.7210 14.8342
Rb 1.4095 7.1513 1.3646
Rb 8.2359 6.8637 15.7609
Rb 5.6436 9.7202 9.4426
Rb 2.5331 7.4551 4.8330
Rb 4.6541 6.1974 7.8718
Rb 9.5863 1.8483 3.2878
Rb 7.2257 6.1235 11.5622
O 10.5449 6.5158 1.4717
O 6.1701 3.9451 6.7502
O 9.3385 4.6123 3.3488
O 1.8314 5.0471 7.5869
O 11.8209 7.1812 11.4267
O 0.6909 2.6655 6.1850
O 8.4693 3.9102 10.5246
O 2.2854 4.6911 4.7721
O 0.8830 6.5140 14.8282
O 4.7677 7.2600 12.8501
O 5.2218 7.6160 15.6649
O 11.9611 5.6996 3.9739
O 3.6371 5.5491 2.3820
O 8.8845 4.2563 0.5339
O 11.4975 9.1276 13.6071
O 10.6144 9.0847 9.5496
O 4.9080 3.6038 4.1470
O 3.4160 8.1180 10.4600
O 13.2233 5.3583 1.3706
O 7.9361 7.9272 9.4486
O 12.2749 6.8252 8.6119
O 13.4154 9.2068 10.0138
O 10.6902 3.7543 5.7388
O 3.4918 2.7876 6.6492
O 1.4162 10.5310 13.7522
O 9.1982 8.2685 12.0518
O 5.6369 7.9621 5.6743
O 7.7440 6.6379 1.9358
O 3.5613 5.3565 14.7272
O 4.4444 5.3136 10.6697
O 9.6619 6.5587 5.5291
O 10.4692 6.3232 13.8168
O 6.3623 5.2344 14.2630
O 12.6900 1.3413 2.4466
O 2.1451 6.1727 12.2249
O 2.6087 2.7447 2.5917
Ge 12.1082 8.0532 9.8346
Ge 9.0512 5.4843 1.7566
Ge 8.9712 8.9885 10.3706
Ge 5.0551 6.3880 14.4422
Ge 3.7203 6.7112 11.4408
Ge 1.9180 5.4527 13.9062
Ge 1.9981 3.8191 6.3643
Ge 10.7735 7.7300 12.8360
Ge 10.3859 5.1611 4.7580
Ge 12.1882 6.4196 2.2927
Ge 3.3328 4.1423 3.3629
Ge 5.1351 2.8838 5.8282

---

5
Lattice="-0.5636 -4.2300 -2.9597 3.3729 1.9032 -3.3624 3.8714 -2.3159 2.5727" Properties=species:S:1:pos:R:3 comment="LiCdAg2Pt PBE optimized geometry" sg="P4/mmm, No. 123" ef_ev_per_atom=0.2741 e_above_lowest_polymorph_mev_per_atom=0 pbc="T T T"
Pt 0.0000 0.0000 0.0000
Ag -0.2818 -2.1150 -1.4798
Ag 1.9357 -1.1580 1.2863
Cd 1.6865 0.9516 -1.6812
Li 3.3403 -2.3214 -1.8747

---

8
Lattice="-6.8666 6.8666 2.4847 6.8666 -6.8666 2.4847 6.8666 6.8666 -2.4847" Properties=species:S:1:pos:R:3 comment="Cs2ZrS PBE optimized geometry" sg="I-42d, No. 122" e_above_lowest_polymorph_mev_per_atom=0 raw_formation_energy_ev_per_atom=-0.1266 pbc="T T T"
Cs 0.9864 3.4333 1.8635
Cs 3.4333 -0.9864 3.1058
Cs 3.4333 7.8530 0.6212
Cs 5.8802 3.4333 -0.6212
Zr 0.0000 0.0000 0.0000
Zr 6.8666 0.0000 1.2423
S 0.0000 0.0000 2.4847
S 0.0000 6.8666 1.2423

---

4
Lattice="3.0953 0.0000 0.0000 0.0000 4.0994 0.0000 0.0000 0.0000 3.9934" Properties=species:S:1:pos:R:3 comment="BeCoRe2 PBE optimized geometry" sg="Pmmm, No. 47" ef_ev_per_atom=0.1431 pbc="T T T"
Co 0.0000 2.0497 1.9967
Re 0.0000 0.0000 0.0000
Re 1.5477 2.0497 0.0000
Be 1.5477 0.0000 1.9967

---

8
Lattice="-2.0334 -2.4170 -4.3101 1.1794 -5.1148 -1.0006 -7.2380 -5.0323 2.9242" Properties=species:S:1:pos:R:3 comment="SrCa2PrAg4 PBE optimized geometry" sg="R-3m, No. 166" ef_ev_per_atom=-0.2926 pbc="T T T"
Ca -2.0318 -3.1442 -0.5907
Ca -6.0602 -9.4199 -1.7958
Sr 0.0000 0.0000 0.0000
Ag -3.5361 -8.5045 -3.5000
Ag -4.5560 -4.0596 1.1135
Ag -6.5691 -7.1971 0.5102
Ag -1.5229 -5.3670 -2.8967
Pr -4.0460 -6.2820 -1.1933

---

10
Lattice="-2.2576 -2.2168 -6.6313 -3.3876 -5.7491 3.0752 -2.3449 1.5344 0.2854" Properties=species:S:1:pos:R:3 comment="Ga2CoPt2 PBE optimized geometry" sg="P4/mbm, No. 127" ef_ev_per_atom=-0.2675 e_above_lowest_polymorph_mev_per_atom=0 pbc="T T T"
Co 0.0000 0.0000 0.0000
Co -2.8226 -3.9830 -1.7780
Pt -2.4697 -0.8677 -1.7261
Pt -3.7077 -3.2948 1.1502
Pt -4.2824 -3.1368 -4.4209
Pt -5.5204 -5.5638 -1.5446
Ga -1.9804 -2.3101 -3.8521
Ga -4.1219 -5.6243 -3.6294
Ga -3.6648 -5.6558 0.2960
Ga -1.5233 -2.3417 0.0733

---

4
Lattice="5.0445 0.0000 0.0000 2.5223 4.3687 0.0000 2.5223 1.4562 4.1188" Properties=species:S:1:pos:R:3 comment="GdPuGePt PBE optimized geometry" sg="F-43m, No. 216" ef_ev_per_atom=-0.6939 pbc="T T T"
Pu 0.0000 0.0000 0.0000
Ge 2.5223 1.4562 1.0297
Gd 5.0445 2.9125 2.0594
Pt 7.5668 4.3687 3.0891

---

5
Lattice="3.7491 0.0000 0.0000 0.0000 3.7491 0.0000 0.0000 0.0000 3.6597" Properties=species:S:1:pos:R:3 comment="Mn2NiHRh PBE optimized geometry" sg="P4/mmm, No. 123" e_above_lowest_polymorph_mev_per_atom=0 pbc="T T T"
Rh 1.8745 1.8745 1.8299
Mn 0.0000 1.8745 0.0000
Mn 1.8745 0.0000 0.0000
Ni 0.0000 0.0000 1.8299
H 0.0000 0.0000 0.0000

---

no.,total moment (μB per atom),calculated volume (A^3/atom)
1,0.000,22.8
2,0.000,22.5
3,0.361,13.1
4,0.000,25.5
5,0.000,19.3
6,0.380,18.5
7,0.000,34.7
8,0.002,15.1
9,0.000,16.3
10,0.224,26.7
11,0.000,35.9
12,0.034,49.5
13,0.009,21.3
14,0.000,27.7
15,0.492,58.6
16,0.218,12.7
17,0.000,27.1
18,0.326,15.2
19,3.049,22.7
20,1.079,10.3